Entry 1:
# MnSiBr2 | Alexandria via LeMat-Bulk | GGA-PBE | optimized geometry
data_MnSiBr2
_cell_length_a 3.537
_cell_length_b 3.537
_cell_length_c 8.379
_cell_angle_alpha 90.00
_cell_angle_beta 90.00
_cell_angle_gamma 90.00
_symmetry_space_group_name_H-M 'P 4 m m'
_symmetry_Int_Tables_number 99
loop_
_symmetry_equiv_pos_as_xyz
'x,y,z'
'-y,x,z'
'-x,-y,z'
'y,-x,z'
'-x,y,z'
'y,x,z'
'x,-y,z'
'-y,-x,z'
loop_
_atom_site_label
_atom_site_type_symbol
_atom_site_fract_x
_atom_site_fract_y
_atom_site_fract_z
_atom_site_occupancy
Mn1 Mn 0.000 0.000 0.000 1
Si1 Si 0.500 0.500 0.949 1
Br1 Br 0.000 0.000 0.273 1
Br2 Br 0.500 0.500 0.677 1
# - uncorrected formation energy (meV per atom) = -124
# - distance to the lowest polymorph of the same formula (kJ/mol of formula units) = 0

=====

Entry 2:
# MnSiBr2 | Alexandria via LeMat-Bulk | GGA-PBE | optimized geometry
data_MnSiBr2
_cell_length_a 6.539
_cell_length_b 6.539
_cell_length_c 9.187
_cell_angle_alpha 90.00
_cell_angle_beta 90.00
_cell_angle_gamma 90.00
_symmetry_space_group_name_H-M 'I -4 2 d'
_symmetry_Int_Tables_number 122
_symmetry_space_group_name_Hall 'I -4 2bw'
loop_
_atom_site_label
_atom_site_type_symbol
_atom_site_fract_x
_atom_site_fract_y
_atom_site_fract_z
_atom_site_occupancy
Mn1 Mn 0.000 0.000 0.000 1
Si1 Si 0.000 0.000 0.500 1
Br1 Br 0.182 0.250 0.125 1
# - uncorrected formation energy (meV per atom) = 884
# - distance to the lowest polymorph of the same formula (kJ/mol of formula units) = 389

=====

Entry 3:
# MnSiBr2 | Alexandria via LeMat-Bulk | GGA-PBE | optimized geometry
data_MnSiBr2
_cell_length_a 5.522
_cell_length_b 5.522
_cell_length_c 6.458
_cell_angle_alpha 90.00
_cell_angle_beta 90.00
_cell_angle_gamma 90.00
_symmetry_space_group_name_H-M 'I 4/m m m'
_symmetry_Int_Tables_number 139
_symmetry_space_group_name_Hall '-I 4 2'
loop_
_atom_site_label
_atom_site_type_symbol
_atom_site_fract_x
_atom_site_fract_y
_atom_site_fract_z
_atom_site_occupancy
Mn1 Mn 0.000 0.000 0.000 1
Si1 Si 0.000 0.000 0.500 1
Br1 Br 0.000 0.500 0.000 1
# - uncorrected formation energy (meV per atom) = 311
# - distance to the lowest polymorph of the same formula (kJ/mol of formula units) = 168

=====

Entry 4:
# MnSiBr2 | Alexandria via LeMat-Bulk | GGA-PBE | optimized geometry
data_MnSiBr2
_cell_length_a 3.497
_cell_length_b 3.787
_cell_length_c 8.750
_cell_angle_alpha 90.00
_cell_angle_beta 101.40
_cell_angle_gamma 90.00
_symmetry_space_group_name_H-M 'P 1 m 1'
_symmetry_Int_Tables_number 6
loop_
_symmetry_equiv_pos_as_xyz
'x,y,z'
'x,-y,z'
loop_
_atom_site_label
_atom_site_type_symbol
_atom_site_fract_x
_atom_site_fract_y
_atom_site_fract_z
_atom_site_occupancy
Mn1 Mn 0.000 0.000 0.000 1
Si1 Si 0.911 0.500 0.825 1
Br1 Br 0.308 0.500 0.616 1
Br2 Br 0.602 0.000 0.206 1
# - uncorrected formation energy (meV per atom) = -94
# - distance to the lowest polymorph of the same formula (kJ/mol of formula units) = 12

=====

Entry 5:
# Mn2SiBr | Alexandria via LeMat-Bulk | GGA-PBE | optimized geometry
data_Mn2SiBr
_cell_length_a 3.238
_cell_length_b 3.456
_cell_length_c 13.212
_cell_angle_alpha 90.00
_cell_angle_beta 90.00
_cell_angle_gamma 90.00
_symmetry_space_group_name_H-M 'I m m 2'
_symmetry_Int_Tables_number 44
loop_
_symmetry_equiv_pos_as_xyz
'x,y,z'
'-x,-y,z'
'-x,y,z'
'x,-y,z'
'x+1/2,y+1/2,z+1/2'
'-x+1/2,-y+1/2,z+1/2'
'-x+1/2,y+1/2,z+1/2'
'x+1/2,-y+1/2,z+1/2'
loop_
_atom_site_label
_atom_site_type_symbol
_atom_site_fract_x
_atom_site_fract_y
_atom_site_fract_z
_atom_site_occupancy
Mn1 Mn 0.000 0.000 0.000 1
Mn2 Mn 0.000 0.500 0.325 1
Si1 Si 0.000 0.500 0.866 1
Br1 Br 0.000 0.000 0.611 1
# - uncorrected formation energy (meV per atom) = 83
# - distance to the lowest polymorph of the same formula (kJ/mol of formula units) = 20

=====

Entry 6:
# MnSiBr2 | Alexandria via LeMat-Bulk | GGA-PBE | optimized geometry
data_MnSiBr2
_cell_length_a 7.026
_cell_length_b 7.026
_cell_length_c 7.026
_cell_angle_alpha 90.00
_cell_angle_beta 90.00
_cell_angle_gamma 90.00
_symmetry_space_group_name_H-M 'F -4 3 m'
_symmetry_Int_Tables_number 216
_symmetry_space_group_name_Hall 'F -4 2 3'
loop_
_atom_site_label
_atom_site_type_symbol
_atom_site_fract_x
_atom_site_fract_y
_atom_site_fract_z
_atom_site_occupancy
Mn1 Mn 0.000 0.000 0.000 1
Si1 Si 0.250 0.250 0.250 1
Br1 Br 0.000 0.000 0.500 1
Br2 Br 0.250 0.250 0.750 1
# - uncorrected formation energy (meV per atom) = 692
# - distance to the lowest polymorph of the same formula (kJ/mol of formula units) = 315

=====

Entry 7:
# MnSiBr4 | Alexandria via LeMat-Bulk | GGA-PBE | optimized geometry
data_MnSiBr4
_cell_length_a 8.803
_cell_length_b 8.803
_cell_length_c 8.803
_cell_angle_alpha 90.00
_cell_angle_beta 90.00
_cell_angle_gamma 90.00
_symmetry_space_group_name_H-M 'F -4 3 m'
_symmetry_Int_Tables_number 216
_symmetry_space_group_name_Hall 'F -4 2 3'
loop_
_atom_site_label
_atom_site_type_symbol
_atom_site_fract_x
_atom_site_fract_y
_atom_site_fract_z
_atom_site_occupancy
Mn1 Mn 0.000 0.000 0.000 1
Si1 Si 0.250 0.250 0.750 1
Br1 Br 0.126 0.126 0.374 1
# - uncorrected formation energy (meV per atom) = 1030

=====

Entry 8:
# Mn2SiBr | Alexandria via LeMat-Bulk | GGA-PBE | optimized geometry
data_Mn2SiBr
_cell_length_a 4.189
_cell_length_b 4.189
_cell_length_c 2.890
_cell_angle_alpha 90.00
_cell_angle_beta 90.00
_cell_angle_gamma 90.00
_symmetry_space_group_name_H-M 'P 4/m m m'
_symmetry_Int_Tables_number 123
_symmetry_space_group_name_Hall '-P 4 2'
loop_
_atom_site_label
_atom_site_type_symbol
_atom_site_fract_x
_atom_site_fract_y
_atom_site_fract_z
_atom_site_occupancy
Mn1 Mn 0.000 0.500 0.000 1
Si1 Si 0.000 0.000 0.500 1
Br1 Br 0.500 0.500 0.500 1
# - uncorrected formation energy (meV per atom) = 577
# - distance to the lowest polymorph of the same formula (kJ/mol of formula units) = 210

=====

Entry 9:
# MnSiSn2Br | Alexandria via LeMat-Bulk | GGA-PBE | optimized geometry
data_MnSiSn2Br
_cell_length_a 5.209
_cell_length_b 5.209
_cell_length_c 4.443
_cell_angle_alpha 90.00
_cell_angle_beta 90.00
_cell_angle_gamma 90.00
_symmetry_space_group_name_H-M 'P 4/m m m'
_symmetry_Int_Tables_number 123
_symmetry_space_group_name_Hall '-P 4 2'
loop_
_atom_site_label
_atom_site_type_symbol
_atom_site_fract_x
_atom_site_fract_y
_atom_site_fract_z
_atom_site_occupancy
Mn1 Mn 0.000 0.000 0.000 1
Si1 Si 0.500 0.500 0.500 1
Sn1 Sn 0.000 0.500 0.000 1
Br1 Br 0.000 0.000 0.500 1
# - uncorrected formation energy (meV per atom) = 619

=====

Entry 10:
# SmMnBr6 | Alexandria via LeMat-Bulk | GGA-PBE | optimized geometry
data_SmMnBr6
_cell_length_a 6.821
_cell_length_b 6.826
_cell_length_c 7.356
_cell_angle_alpha 90.02
_cell_angle_beta 117.60
_cell_angle_gamma 119.95
_symmetry_space_group_name_H-M 'P -1'
_symmetry_Int_Tables_number 2
loop_
_symmetry_equiv_pos_as_xyz
'x,y,z'
'-x,-y,-z'
loop_
_atom_site_label
_atom_site_type_symbol
_atom_site_fract_x
_atom_site_fract_y
_atom_site_fract_z
_atom_site_occupancy
Sm1 Sm 0.000 0.000 0.000 1
Mn1 Mn 0.000 0.500 0.500 1
Br1 Br 0.153 0.423 0.264 1
Br2 Br 0.160 0.270 0.737 1
Br3 Br 0.466 0.889 0.737 1
# - uncorrected formation energy (meV per atom) = -1152

=====

Entry 11:
# SmMnBr | Alexandria via LeMat-Bulk | GGA-PBE | optimized geometry
data_SmMnBr
_cell_length_a 3.8677
_cell_length_b 3.8677
_cell_length_c 36.6239
_cell_angle_alpha 90.00
_cell_angle_beta 90.00
_cell_angle_gamma 120.00
_symmetry_space_group_name_H-M 'R -3 m'
_symmetry_Int_Tables_number 166
_symmetry_space_group_name_Hall '-R 3 2"'
loop_
_atom_site_label
_atom_site_type_symbol
_atom_site_fract_x
_atom_site_fract_y
_atom_site_fract_z
_atom_site_occupancy
Sm1 Sm 0.0000 0.0000 0.0588 1
Mn1 Mn 0.0000 0.0000 0.3355 1
Br1 Br 0.0000 0.0000 0.2204 1
# - uncorrected formation energy (meV per atom) = -845

=====

Entry 12:
# SmMnTl2Br8 | Alexandria via LeMat-Bulk | GGA-PBE | optimized geometry
data_SmMnTl2Br8
_cell_length_a 7.047
_cell_length_b 7.457
_cell_length_c 8.385
_cell_angle_alpha 86.81
_cell_angle_beta 86.49
_cell_angle_gamma 87.14
_symmetry_space_group_name_H-M 'P -1'
_symmetry_Int_Tables_number 2
loop_
_symmetry_equiv_pos_as_xyz
'x,y,z'
'-x,-y,-z'
loop_
_atom_site_label
_atom_site_type_symbol
_atom_site_fract_x
_atom_site_fract_y
_atom_site_fract_z
_atom_site_occupancy
Sm1 Sm 0.000 0.000 0.000 1
Mn1 Mn 0.000 0.000 0.500 1
Tl1 Tl 0.495 0.489 0.734 1
Br1 Br 0.174 0.714 0.507 1
Br2 Br 0.215 0.113 0.266 1
Br3 Br 0.225 0.671 0.006 1
Br4 Br 0.240 0.131 0.735 1
# - uncorrected formation energy (meV per atom) = -1091